# 1
The following is a DFT calculation (PBE) of an optimized crystal structure of Sr2GaW.

Cell and atoms, written as POSCAR:
```
Sr2GaW
1.0
8.617 0.000 0.000
0.000 8.617 0.000
4.308 4.308 2.984
Sr Ga W
4 2 2
Direct
0.133 0.625 0.250 Sr
0.617 0.125 0.250 Sr
0.375 0.383 0.750 Sr
0.875 0.867 0.750 Sr
0.500 0.500 0.000 Ga
0.250 0.750 0.500 Ga
0.000 0.000 0.000 W
0.750 0.250 0.500 W
```

Computed properties:
- Density of states at the Fermi level: 8.0 states/eV/cell
- Final energy: -3.74 eV per atom
- Space-group type: I-42d
- ΔE_f: 1.095 eV per atom

=====

# 2
The following is a DFT calculation (PBE) of an optimized crystal structure of Sr3GaW.

Cell and atoms, written as POSCAR:
```
Sr3GaW
1.0
-5.039 -0.442 -3.255
3.285 -0.541 -5.010
0.075 -5.975 0.695
Ga Sr W
1 3 1
Direct
0.000 0.000 0.000 Ga
0.000 0.500 0.000 Sr
0.500 0.000 0.000 Sr
0.000 0.000 0.500 Sr
0.500 0.500 0.500 W
```

Computed properties:
- Density of states at the Fermi level: 5.8 states/eV/cell
- Final energy: -3.12 eV per atom
- Space-group type: Pm-3m
- ΔE_f: 1.087 eV per atom

=====

# 3
The following is a DFT calculation (PBE) of an optimized crystal structure of SrYGa.

Cell and atoms, written as POSCAR:
```
SrYGa
1.0
3.718 0.000 0.000
0.004 13.721 -0.002
0.000 0.000 3.719
Ga Y Sr
2 2 2
Direct
0.693 0.418 0.242 Ga
0.693 0.664 0.242 Ga
0.193 0.784 0.742 Y
0.193 0.534 0.742 Y
0.193 0.265 0.742 Sr
0.692 0.005 0.242 Sr
```

Computed properties:
- Density of states at the Fermi level: 5.6 states/eV/cell
- Final energy: -4.04 eV per atom
- Space-group type: P4mm
- ΔE_f: -0.315 eV per atom

=====

# 4
The following is a DFT calculation (PBE) of an optimized crystal structure of SrYGa.

Cell and atoms, written as POSCAR:
```
SrYGa
1.0
4.649 -2.684 0.000
0.000 5.368 0.000
0.000 0.000 11.214
Sr Ga Y
2 2 2
Direct
0.333 0.667 0.250 Sr
0.667 0.333 0.750 Sr
0.000 0.000 0.750 Ga
0.000 0.000 0.250 Ga
0.000 0.000 0.500 Y
0.000 0.000 0.000 Y
```

Computed properties:
- Density of states at the Fermi level: 9.0 states/eV/cell
- Final energy: -3.31 eV per atom
- Space-group type: P6_3/mmc
- ΔE_f: 0.412 eV per atom

=====

# 5
The following is a DFT calculation (PBE) of an optimized crystal structure of SrYGa.

Cell and atoms, written as POSCAR:
```
SrYGa
1.0
3.630 -0.010 0.000
0.028 7.879 -0.024
1.807 -3.211 6.759
Ga Sr Y
2 2 2
Direct
0.958 0.413 0.580 Ga
0.876 0.795 0.743 Ga
0.634 0.095 0.230 Sr
0.371 0.135 0.752 Sr
0.277 0.625 0.942 Y
0.560 0.607 0.375 Y
```

Computed properties:
- Density of states at the Fermi level: 5.5 states/eV/cell
- Final energy: -3.94 eV per atom
- Space-group type: P1
- ΔE_f: -0.215 eV per atom

=====

# 6
The following is a DFT calculation (PBE) of an optimized crystal structure of Sr3YGa.

Cell and atoms, written as POSCAR:
```
Sr3YGa
1.0
-2.644 -5.856 1.021
5.596 -2.075 2.590
-2.006 1.931 5.880
Sr Y Ga
3 1 1
Direct
0.500 0.000 0.000 Sr
0.000 0.000 0.500 Sr
0.000 0.500 0.000 Sr
0.000 0.000 0.000 Y
0.500 0.500 0.500 Ga
```

Computed properties:
- Density of states at the Fermi level: 6.3 states/eV/cell
- Final energy: -2.04 eV per atom
- Space-group type: Pm-3m
- ΔE_f: 0.866 eV per atom

=====

# 7
The following is a DFT calculation (PBE) of an optimized crystal structure of SrYGa.

Cell and atoms, written as POSCAR:
```
SrYGa
1.0
-3.254 -1.359 1.575
-0.146 -3.543 -12.832
1.806 -3.294 0.889
Ga Sr Y
2 2 2
Direct
0.446 0.806 0.854 Ga
0.556 0.417 0.354 Ga
0.115 0.975 0.353 Sr
0.887 0.248 0.854 Sr
0.840 0.700 0.354 Y
0.163 0.523 0.854 Y
```

Computed properties:
- Density of states at the Fermi level: 4.5 states/eV/cell
- Final energy: -4.05 eV per atom
- Space-group type: P4/nmm
- ΔE_f: -0.330 eV per atom

=====

# 8
The following is a DFT calculation (PBE) of an optimized crystal structure of SrYGa.

Cell and atoms, written as POSCAR:
```
SrYGa
1.0
-4.105 2.354 2.127
0.958 -2.396 4.501
4.586 5.995 2.215
Sr Ga Y
2 2 2
Direct
0.500 0.000 0.187 Sr
0.000 0.500 0.813 Sr
0.000 0.000 0.500 Ga
0.500 0.500 0.500 Ga
0.000 0.500 0.342 Y
0.500 0.000 0.658 Y
```

Computed properties:
- Density of states at the Fermi level: 5.6 states/eV/cell
- Final energy: -3.94 eV per atom
- Space-group type: P4/nmm
- ΔE_f: -0.218 eV per atom

=====

# 9
The following is a DFT calculation (PBE) of an optimized crystal structure of SrY3Ga.

Cell and atoms, written as POSCAR:
```
SrY3Ga
1.0
-4.723 -3.087 -0.378
2.195 -3.795 3.573
-2.204 2.837 4.368
Y Sr Ga
3 1 1
Direct
0.000 0.500 0.000 Y
0.000 0.000 0.500 Y
0.500 0.000 0.000 Y
0.500 0.500 0.500 Sr
0.000 0.000 0.000 Ga
```

Computed properties:
- Density of states at the Fermi level: 5.6 states/eV/cell
- Final energy: -4.81 eV per atom
- Space-group type: Pm-3m
- ΔE_f: 0.008 eV per atom

=====

# 10
The following is a DFT calculation (PBE) of an optimized crystal structure of Sr2YGa.

Cell and atoms, written as POSCAR:
```
Sr2YGa
1.0
-0.953 -0.527 3.653
-2.869 -2.341 0.902
6.417 -10.117 2.202
Sr Y Ga
2 1 1
Direct
0.900 0.900 0.301 Sr
0.100 0.100 0.699 Sr
0.000 0.000 0.000 Y
0.500 0.500 0.500 Ga
```

Computed properties:
- Density of states at the Fermi level: 4.1 states/eV/cell
- Final energy: -3.05 eV per atom
- Space-group type: R-3m
- ΔE_f: 0.161 eV per atom

=====

# 11
The following is a DFT calculation (PBE) of an optimized crystal structure of SrYGa4.

Cell and atoms, written as POSCAR:
```
SrYGa4
1.0
-2.788 3.178 0.713
-0.397 -1.263 4.078
7.313 3.618 -0.422
Sr Y Ga
1 1 4
Direct
0.250 0.750 0.500 Sr
0.000 0.000 0.000 Y
0.664 0.164 0.328 Ga
0.580 0.580 0.161 Ga
0.420 0.420 0.839 Ga
0.836 0.336 0.672 Ga
```

Computed properties:
- Density of states at the Fermi level: 3.8 states/eV/cell
- Final energy: -3.90 eV per atom
- Space-group type: I-4m2
- ΔE_f: -0.529 eV per atom

=====

# 12
The following is a DFT calculation (PBE) of an optimized crystal structure of SrYGa.

Cell and atoms, written as POSCAR:
```
SrYGa
1.0
-2.503 -0.787 4.326
6.572 -1.548 3.519
0.515 4.891 1.188
Sr Y Ga
2 2 2
Direct
0.607 0.686 0.045 Sr
0.107 0.423 0.545 Sr
0.607 0.055 0.544 Y
0.107 0.055 0.044 Y
0.607 0.266 0.045 Ga
0.107 0.844 0.545 Ga
```

Computed properties:
- Density of states at the Fermi level: 2.7 states/eV/cell
- Final energy: -4.08 eV per atom
- Space-group type: P4/nmm
- ΔE_f: -0.360 eV per atom